Below is a relaxed structure of Ta2NiRu, with properties calculated at the PBE-GGA level.

- DOS(E_F) (states/eV per cell) = 3.72
- space-group type = Cm
- total DFT energy (no corrections) (eV/atom) = -9.84

Cell: 4.8003 4.8003 4.6390 Å, 78.22 78.22 36.42°
Sites, in units of the cell vectors:
1 Ta 0.7646 0.7646 0.7030
2 Ru 0.2385 0.2385 0.2440
3 Ni 0.5015 0.5015 0.5237
4 Ta 0.9955 0.9955 0.0293

=====

Below is a relaxed structure of Ta2NiRu, with properties calculated at the PBE-GGA level.

- DOS(E_F) (states/eV per cell) = 8.36
- space-group type = Cmcm
- total DFT energy (no corrections) (eV/atom) = -9.94

Cell: 4.3123 5.4900 5.4900 Å, 70.87 89.98 89.98°
Sites, in units of the cell vectors:
1 Ta 0.2500 0.1161 0.6505
2 Ru 0.2500 0.6228 0.6228
3 Ru 0.7500 0.3772 0.3772
4 Ni 0.2500 0.1672 0.1672
5 Ni 0.7500 0.8328 0.8328
6 Ta 0.7500 0.3495 0.8839
7 Ta 0.2500 0.6505 0.1161
8 Ta 0.7500 0.8839 0.3495

=====

Below is a relaxed structure of Ta2NiRu, with properties calculated at the PBE-GGA level.

- DOS(E_F) (states/eV per cell) = 3.53
- space-group type = I-4m2
- total DFT energy (no corrections) (eV/atom) = -9.83

Cell: 5.0092 5.0092 5.0092 Å, 135.19 135.19 65.24°
Sites, in units of the cell vectors:
1 Ta 0.0000 0.0000 0.0000
2 Ru 0.7500 0.2500 0.5000
3 Ta 0.2500 0.7500 0.5000
4 Ni 0.5000 0.5000 0.0000

=====

Below is a relaxed structure of Ta2NiRu, with properties calculated at the PBE-GGA level.

- DOS(E_F) (states/eV per cell) = 4.21
- space-group type = Cmm2
- total DFT energy (no corrections) (eV/atom) = -9.68

Cell: 2.7926 2.7926 8.1532 Å, 90.00 90.00 103.20°
Sites, in units of the cell vectors:
1 Ta 0.5000 0.5000 0.2725
2 Ni 0.0000 0.0000 0.5105
3 Ta 0.0000 0.0000 0.9852
4 Ru 0.5000 0.5000 0.7317

=====

Below is a relaxed structure of Ta2NiRu, with properties calculated at the PBE-GGA level.

- DOS(E_F) (states/eV per cell) = 11.72
- space-group type = I-42d
- total DFT energy (no corrections) (eV/atom) = -9.39

Cell: 6.9153 6.9153 5.6062 Å, 51.92 51.92 90.00°
Sites, in units of the cell vectors:
1 Ta 0.6203 0.1250 0.2500
2 Ta 0.1297 0.6250 0.2500
3 Ni 0.5000 0.5000 0.0000
4 Ni 0.2500 0.7500 0.5000
5 Ta 0.8750 0.8703 0.7500
6 Ru 0.0000 0.0000 0.0000
7 Ru 0.7500 0.2500 0.5000
8 Ta 0.3750 0.3797 0.7500

=====

Below is a relaxed structure of Ta3NiRu2, with properties calculated at the PBE-GGA level.

- DOS(E_F) (states/eV per cell) = 8.49
- space-group type = Cmmm
- total DFT energy (no corrections) (eV/atom) = -10.25

Cell: 4.3328 7.0013 6.4865 Å, 90.00 90.00 71.98°
Sites, in units of the cell vectors:
1 Ni 0.3585 0.2830 0.0000
2 Ta 0.5000 0.0000 0.7423
3 Ru 0.0000 0.0000 0.5000
4 Ru 0.6673 0.6654 0.5000
5 Ta 0.1749 0.6502 0.7653
6 Ni 0.6415 0.7170 0.0000
7 Ru 0.3327 0.3346 0.5000
8 Ta 0.1749 0.6502 0.2347
9 Ru 0.0000 0.0000 0.0000
10 Ta 0.8251 0.3498 0.2347
11 Ta 0.5000 0.0000 0.2577
12 Ta 0.8251 0.3498 0.7653